# 1
# PBE-GGA SrIn12Pd6, relaxed
data_SrIn12Pd6
_chemical_formula_sum 'Sr3 In36 Pd18'
_symmetry_space_group_name_H-M 'R -3 m'
_symmetry_Int_Tables_number 166
_symmetry_space_group_name_Hall '-R 3 2"'
_cell_length_a 12.5136
_cell_length_b 12.5136
_cell_length_c 9.5634
_cell_angle_alpha 90.00
_cell_angle_beta 90.00
_cell_angle_gamma 120.00
loop_
_atom_site_label
_atom_site_fract_x
_atom_site_fract_y
_atom_site_fract_z
Sr1 0.0000 0.0000 0.0000
In1 0.0000 0.3831 0.5000
In2 0.0854 0.1707 0.3251
Pd1 0.0479 0.5239 0.2472
# - E_form: -7.097 eV/f.u.
# - Crystal system: trigonal

# 2
# PBE-GGA Sr2In3Pd, relaxed
data_Sr2In3Pd
_chemical_formula_sum 'Sr4 In6 Pd2'
_symmetry_space_group_name_H-M 'C 1 m 1'
_symmetry_Int_Tables_number 8
_cell_length_a 11.456
_cell_length_b 4.864
_cell_length_c 7.944
_cell_angle_alpha 90.00
_cell_angle_beta 130.12
_cell_angle_gamma 90.00
loop_
_symmetry_equiv_pos_as_xyz
'x,y,z'
'x,-y,z'
'x+1/2,y+1/2,z'
'x+1/2,-y+1/2,z'
loop_
_atom_site_label
_atom_site_fract_x
_atom_site_fract_y
_atom_site_fract_z
Sr1 0.000 0.000 0.000
Sr2 0.116 0.000 0.610
In1 0.227 0.500 0.389
In2 0.377 0.000 0.195
In3 0.419 0.000 0.619
Pd1 0.219 0.500 0.020
# - E_form: -3.242 eV/f.u.
# - Crystal system: monoclinic

# 3
# PBE-GGA Sr3InPd, relaxed
data_Sr3InPd
_chemical_formula_sum 'Sr3 In1 Pd1'
_symmetry_space_group_name_H-M 'P m -3 m'
_symmetry_Int_Tables_number 221
_symmetry_space_group_name_Hall '-P 4 2 3'
_cell_length_a 5.863
_cell_length_b 5.863
_cell_length_c 5.863
_cell_angle_alpha 90.00
_cell_angle_beta 90.00
_cell_angle_gamma 90.00
loop_
_atom_site_label
_atom_site_fract_x
_atom_site_fract_y
_atom_site_fract_z
Sr1 0.000 0.000 0.500
In1 0.500 0.500 0.500
Pd1 0.000 0.000 0.000
# - E_form: -1.516 eV/f.u.
# - Crystal system: cubic

# 4
# PBE-GGA Sr2In2Pd3, relaxed
data_Sr2In2Pd3
_chemical_formula_sum 'Sr4 In4 Pd6'
_symmetry_space_group_name_H-M 'C 1 2/m 1'
_symmetry_Int_Tables_number 12
_cell_length_a 8.858
_cell_length_b 5.280
_cell_length_c 8.355
_cell_angle_alpha 90.00
_cell_angle_beta 119.90
_cell_angle_gamma 90.00
loop_
_symmetry_equiv_pos_as_xyz
'x,y,z'
'-x,-y,-z'
'-x,y,-z'
'x,-y,z'
'x+1/2,y+1/2,z'
'-x+1/2,-y+1/2,-z'
'-x+1/2,y+1/2,-z'
'x+1/2,-y+1/2,z'
loop_
_atom_site_label
_atom_site_fract_x
_atom_site_fract_y
_atom_site_fract_z
Sr1 0.086 0.000 0.340
In1 0.180 0.500 0.876
Pd1 0.000 0.500 0.500
Pd2 0.170 0.500 0.193
# - E_form: -3.634 eV/f.u.
# - Crystal system: monoclinic

# 5
# PBE-GGA Sr3In5Pd6, relaxed
data_Sr3In5Pd6
_chemical_formula_sum 'Sr6 In10 Pd12'
_symmetry_space_group_name_H-M 'P m m n'
_symmetry_Int_Tables_number 59
_cell_length_a 4.586
_cell_length_b 13.629
_cell_length_c 10.213
_cell_angle_alpha 90.00
_cell_angle_beta 90.00
_cell_angle_gamma 90.00
loop_
_symmetry_equiv_pos_as_xyz
'x,y,z'
'-x,-y,-z'
'-x+1/2,-y+1/2,z'
'x+1/2,y+1/2,-z'
'x+1/2,-y,-z'
'-x+1/2,y,z'
'-x,y+1/2,-z'
'x,-y+1/2,z'
loop_
_atom_site_label
_atom_site_fract_x
_atom_site_fract_y
_atom_site_fract_z
Sr1 0.250 0.058 0.248
Sr2 0.250 0.750 0.271
In1 0.250 0.075 0.588
In2 0.250 0.610 0.989
In3 0.250 0.750 0.758
Pd1 0.250 0.086 0.862
Pd2 0.250 0.250 0.044
Pd3 0.250 0.250 0.431
Pd4 0.250 0.632 0.538
# - E_form: -8.319 eV/f.u.
# - Crystal system: orthorhombic

# 6
# PBE-GGA Sr2In2Pd, relaxed
data_Sr2In2Pd
_chemical_formula_sum 'Sr4 In4 Pd2'
_symmetry_space_group_name_H-M 'P 4/m b m'
_symmetry_Int_Tables_number 127
_symmetry_space_group_name_Hall '-P 4 2ab'
_cell_length_a 7.529
_cell_length_b 7.529
_cell_length_c 5.263
_cell_angle_alpha 90.00
_cell_angle_beta 90.00
_cell_angle_gamma 90.00
loop_
_atom_site_label
_atom_site_fract_x
_atom_site_fract_y
_atom_site_fract_z
Sr1 0.174 0.326 0.000
In1 0.139 0.639 0.500
Pd1 0.000 0.000 0.500
# - E_form: -1.835 eV/f.u.
# - Crystal system: tetragonal

# 7
# PBE-GGA Sr4InPd, relaxed
data_Sr4InPd
_chemical_formula_sum 'Sr16 In4 Pd4'
_symmetry_space_group_name_H-M 'C 1 2/c 1'
_symmetry_Int_Tables_number 15
_cell_length_a 10.107
_cell_length_b 14.855
_cell_length_c 7.067
_cell_angle_alpha 90.00
_cell_angle_beta 119.17
_cell_angle_gamma 90.00
loop_
_symmetry_equiv_pos_as_xyz
'x,y,z'
'-x,-y,-z'
'-x,y,-z+1/2'
'x,-y,z+1/2'
'x+1/2,y+1/2,z'
'-x+1/2,-y+1/2,-z'
'-x+1/2,y+1/2,-z+1/2'
'x+1/2,-y+1/2,z+1/2'
loop_
_atom_site_label
_atom_site_fract_x
_atom_site_fract_y
_atom_site_fract_z
Sr1 0.118 0.172 0.080
Sr2 0.212 0.436 0.298
In1 0.000 0.366 0.750
Pd1 0.000 0.003 0.250
# - E_form: -2.206 eV/f.u.
# - Crystal system: monoclinic

# 8
# PBE-GGA Sr3In2Pd2, relaxed
data_Sr3In2Pd2
_chemical_formula_sum 'Sr12 In8 Pd8'
_symmetry_space_group_name_H-M 'P b c m'
_symmetry_Int_Tables_number 57
_cell_length_a 6.288
_cell_length_b 8.613
_cell_length_c 14.929
_cell_angle_alpha 90.00
_cell_angle_beta 90.00
_cell_angle_gamma 90.00
loop_
_symmetry_equiv_pos_as_xyz
'x,y,z'
'-x,-y,-z'
'-x,-y,z+1/2'
'x,y,-z+1/2'
'x,-y+1/2,-z'
'-x,y+1/2,z'
'-x,y+1/2,-z+1/2'
'x,-y+1/2,z+1/2'
loop_
_atom_site_label
_atom_site_fract_x
_atom_site_fract_y
_atom_site_fract_z
Sr1 0.132 0.249 0.250
Sr2 0.349 0.602 0.595
In1 0.135 0.250 0.000
In2 0.356 0.599 0.250
Pd1 0.130 0.535 0.092
# - E_form: -4.213 eV/f.u.
# - Crystal system: orthorhombic